Below is crystalline KGaGe at its relaxed geometry, with properties calculated at the PBE level.

Cell lengths 6.7071, 6.7071, 5.5389 Å; angles 90.00, 90.00, 138.21 degrees
With the nearest neighbours (Å) after each atom.
Positions (direct):
Ga 0.0000 0.0000 0.5000  2 Ga 2.77, 4 Ge 2.84
Ga 0.0000 0.0000 0.0000  2 Ga 2.77, 4 Ge 2.84
K 0.7203 0.2797 0.2500  5 Ge 3.39-3.74, 4 K 3.73, 2 Ga 3.77
K 0.2797 0.7203 0.7500  5 Ge 3.39-3.74, 4 K 3.73, 2 Ga 3.77
Ge 0.4497 0.5503 0.2500  4 Ga 2.84, 2 Ge 3.04
Ge 0.5503 0.4497 0.7500  4 Ga 2.84, 2 Ge 3.04

Formation energy from the elements ... 0.045 eV/atom
Electronic total energy ... -2.869 eV/atom
Space group ... Cmcm